[1]
Compound: TeWN2Cl
Source: the Alexandria database
Functional: meta-GGA SCAN
Structure: PBEsol geometry

Final energy   -23.957 eV per atom
Total magnetization   1.31 μB/cell
SG   No. 123
Uncorrected formation energy   2.7424 eV per atom

abc: 3.923 3.923 4.927
angles: 90.00 90.00 90.00
Site moments in Bohr magnetons follow the coordinates.
Fractional coordinates of all 5 atoms:
N 0.000 0.500 0.000  -0.61
N 0.500 0.000 0.000  -0.61
Te 0.000 0.000 0.500  -0.10
W 0.500 0.500 0.500  2.38
Cl 0.000 0.000 0.000  0.00



[2]
Compound: TiNCl2
Source: the Alexandria database
Functional: meta-GGA SCAN
Structure: PBEsol geometry

Final energy   -10.322 eV per atom
Total magnetization   2.94 μB/cell
SG   No. 166
Uncorrected formation energy   -0.0031 eV per atom

abc: 3.233 3.233 9.499
angles: 80.20 80.20 60.00
Site moments in Bohr magnetons follow the coordinates.
Fractional coordinates of all 4 atoms:
N 0.000 0.000 0.000  1.93
Cl 0.890 0.890 0.331  0.01
Cl 0.110 0.110 0.669  0.01
Ti 0.500 0.500 0.500  0.00



[3]
Compound: TiNCl3
Source: the Alexandria database
Functional: meta-GGA SCAN
Structure: PBEsol geometry

Final energy   -9.313 eV per atom
Total magnetization   2.52 μB/cell
SG   No. 221
Uncorrected formation energy   0.5380 eV per atom

abc: 4.328 4.328 4.328
angles: 90.00 90.00 90.00
Site moments in Bohr magnetons follow the coordinates.
Fractional coordinates of all 5 atoms:
N 0.000 0.000 0.000  0.25
Ti 0.500 0.500 0.500  1.85
Cl 0.000 0.500 0.000  0.03
Cl 0.000 0.000 0.500  0.03
Cl 0.500 0.000 0.000  0.03



[4]
Compound: TlNCl3
Source: the Alexandria database
Functional: meta-GGA SCAN
Structure: PBEsol geometry

Final energy   -20.690 eV per atom
Total magnetization   0.00 μB/cell
SG   No. 221
Uncorrected formation energy   0.4269 eV per atom

abc: 4.531 4.531 4.531
angles: 90.00 90.00 90.00
Fractional coordinates of all 5 atoms:
Tl 0.500 0.500 0.500
N 0.000 0.000 0.000
Cl 0.000 0.500 0.000
Cl 0.000 0.000 0.500
Cl 0.500 0.000 0.000